1.
! meta-GGA SCAN TaMnW2, single point on PBEsol structure; values from VASP
&SYSTEM
  ibrav = 0, nat = 4, ntyp = 3
/
ATOMIC_SPECIES
Ta 180.95 Ta.upf
Mn 54.94 Mn.upf
W 183.84 W.upf
CELL_PARAMETERS angstrom
-1.852 1.852 4.459
1.852 -1.852 4.459
1.852 1.852 -4.459
ATOMIC_POSITIONS crystal
Ta 0.000 0.000 0.000
Mn 0.500 0.500 0.000
W 0.250 0.750 0.500
W 0.750 0.250 0.500
! symmetry: I4/mmm (139)

=====

2.
! meta-GGA SCAN YTaMn2, single point on PBEsol structure; values from VASP
&SYSTEM
  ibrav = 0, nat = 4, ntyp = 3
/
ATOMIC_SPECIES
Y 88.91 Y.upf
Ta 180.95 Ta.upf
Mn 54.94 Mn.upf
CELL_PARAMETERS angstrom
3.514 0.000 0.000
0.000 1.850 5.316
0.000 -1.850 5.316
ATOMIC_POSITIONS crystal
Y 0.000 0.000 0.000
Ta 0.500 0.708 0.708
Mn 0.000 0.270 0.270
Mn 0.500 0.381 0.381
! symmetry: Amm2 (38)

=====

3.
! meta-GGA SCAN YTaMn2, single point on PBEsol structure; values from VASP
&SYSTEM
  ibrav = 0, nat = 4, ntyp = 3
/
ATOMIC_SPECIES
Y 88.91 Y.upf
Ta 180.95 Ta.upf
Mn 54.94 Mn.upf
CELL_PARAMETERS angstrom
3.127 0.000 0.000
0.000 3.127 0.000
0.000 0.000 6.572
ATOMIC_POSITIONS crystal
Y 0.000 0.000 0.000
Ta 0.000 0.000 0.500
Mn 0.500 0.500 0.291
Mn 0.500 0.500 0.709
! symmetry: P4/mmm (123)

=====

4.
! meta-GGA SCAN YZrTaMn2, single point on PBEsol structure; values from VASP
&SYSTEM
  ibrav = 0, nat = 5, ntyp = 4
/
ATOMIC_SPECIES
Y 88.91 Y.upf
Zr 91.22 Zr.upf
Ta 180.95 Ta.upf
Mn 54.94 Mn.upf
CELL_PARAMETERS angstrom
4.676 0.000 0.000
0.000 4.676 0.000
0.000 0.000 4.995
ATOMIC_POSITIONS crystal
Y 0.000 0.000 0.000
Zr 0.500 0.500 0.000
Ta 0.500 0.500 0.500
Mn 0.000 0.500 0.500
Mn 0.500 0.000 0.500
! symmetry: P4/mmm (123)

=====

5.
! meta-GGA SCAN TaMnZn, single point on PBEsol structure; values from VASP
&SYSTEM
  ibrav = 0, nat = 3, ntyp = 3
/
ATOMIC_SPECIES
Ta 180.95 Ta.upf
Mn 54.94 Mn.upf
Zn 65.41 Zn.upf
CELL_PARAMETERS angstrom
0.000 2.907 2.907
2.907 0.000 2.907
2.907 2.907 0.000
ATOMIC_POSITIONS crystal
Ta 0.000 0.000 0.000
Mn 0.500 0.500 0.500
Zn 0.750 0.750 0.750
! symmetry: F-43m (216)

=====

6.
! meta-GGA SCAN TaMnZn2, single point on PBEsol structure; values from VASP
&SYSTEM
  ibrav = 0, nat = 4, ntyp = 3
/
ATOMIC_SPECIES
Ta 180.95 Ta.upf
Mn 54.94 Mn.upf
Zn 65.41 Zn.upf
CELL_PARAMETERS angstrom
0.000 3.032 3.032
3.032 0.000 3.032
3.032 3.032 0.000
ATOMIC_POSITIONS crystal
Ta 0.000 0.000 0.000
Mn 0.250 0.250 0.250
Zn 0.500 0.500 0.500
Zn 0.750 0.750 0.750
! symmetry: F-43m (216)

=====

7.
! meta-GGA SCAN TaMnZn2, single point on PBEsol structure; values from VASP
&SYSTEM
  ibrav = 0, nat = 4, ntyp = 3
/
ATOMIC_SPECIES
Ta 180.95 Ta.upf
Mn 54.94 Mn.upf
Zn 65.41 Zn.upf
CELL_PARAMETERS angstrom
2.714 0.000 0.000
0.000 3.855 0.000
-0.010 0.000 5.355
ATOMIC_POSITIONS crystal
Ta 0.000 0.000 0.000
Mn 0.000 0.000 0.500
Zn 0.499 0.500 0.731
Zn 0.501 0.500 0.269
! symmetry: P2/m (10)

=====

8.
! meta-GGA SCAN TaMnZn2, single point on PBEsol structure; values from VASP
&SYSTEM
  ibrav = 0, nat = 4, ntyp = 3
/
ATOMIC_SPECIES
Ta 180.95 Ta.upf
Mn 54.94 Mn.upf
Zn 65.41 Zn.upf
CELL_PARAMETERS angstrom
2.788 0.000 0.000
0.000 2.788 0.000
0.000 0.000 7.339
ATOMIC_POSITIONS crystal
Ta 0.000 0.000 0.000
Mn 0.000 0.000 0.500
Zn 0.500 0.500 0.270
Zn 0.500 0.500 0.730
! symmetry: P4/mmm (123)

=====

9.
! meta-GGA SCAN TaMnZn2, single point on PBEsol structure; values from VASP
&SYSTEM
  ibrav = 0, nat = 4, ntyp = 3
/
ATOMIC_SPECIES
Ta 180.95 Ta.upf
Mn 54.94 Mn.upf
Zn 65.41 Zn.upf
CELL_PARAMETERS angstrom
3.108 0.000 0.000
0.000 3.108 0.000
0.000 0.000 5.824
ATOMIC_POSITIONS crystal
Ta 0.000 0.000 0.000
Mn 0.500 0.500 0.805
Zn 0.000 0.000 0.533
Zn 0.500 0.500 0.304
! symmetry: P4mm (99)

=====

10.
! meta-GGA SCAN ZrTaMn3, single point on PBEsol structure; values from VASP
&SYSTEM
  ibrav = 0, nat = 5, ntyp = 3
/
ATOMIC_SPECIES
Zr 91.22 Zr.upf
Ta 180.95 Ta.upf
Mn 54.94 Mn.upf
CELL_PARAMETERS angstrom
4.477 0.000 0.000
0.000 4.477 0.000
0.000 0.000 4.477
ATOMIC_POSITIONS crystal
Zr 0.000 0.000 0.000
Ta 0.500 0.500 0.500
Mn 0.000 0.500 0.500
Mn 0.500 0.000 0.500
Mn 0.500 0.500 0.000
! symmetry: Pm-3m (221)

=====

11.
! meta-GGA SCAN TbMn12, single point on PBEsol structure; values from VASP
&SYSTEM
  ibrav = 0, nat = 13, ntyp = 2
/
ATOMIC_SPECIES
Tb 158.93 Tb.upf
Mn 54.94 Mn.upf
CELL_PARAMETERS angstrom
-4.086 4.086 2.251
4.086 -4.086 2.251
4.086 4.086 -2.251
ATOMIC_POSITIONS crystal
Tb 0.000 0.000 0.000
Mn 0.000 0.000 0.500
Mn 0.000 0.365 0.365
Mn 0.000 0.500 0.000
Mn 0.000 0.635 0.635
Mn 0.274 0.500 0.774
Mn 0.365 0.000 0.365
Mn 0.500 0.000 0.000
Mn 0.500 0.274 0.774
Mn 0.500 0.500 0.500
Mn 0.500 0.726 0.226
Mn 0.635 0.000 0.635
Mn 0.726 0.500 0.226
! symmetry: I4/mmm (139)

=====

12.
! meta-GGA SCAN MnTc, single point on PBEsol structure; values from VASP
&SYSTEM
  ibrav = 0, nat = 2, ntyp = 2
/
ATOMIC_SPECIES
Mn 54.94 Mn.upf
Tc 98.00 Tc.upf
CELL_PARAMETERS angstrom
0.000 2.588 2.588
2.588 0.000 2.588
2.588 2.588 0.000
ATOMIC_POSITIONS crystal
Mn 0.000 0.000 0.000
Tc 0.750 0.750 0.750
! symmetry: F-43m (216)

=====

no.,energy of formation (eV per atom),VASP energy (eV/atom),V (Å³/atom)
1,0.228,-55.83,15.29
2,0.300,-32.43,17.28
3,0.069,-32.67,16.07
4,0.607,-31.72,21.84
5,0.494,-32.29,16.37
6,0.060,-27.91,13.94
7,-0.039,-28.01,14.00
8,-0.109,-28.08,14.26
9,0.043,-27.92,14.07
10,0.871,-29.54,17.95
11,0.011,-20.44,11.56
12,1.508,-25.15,17.34